Entry 1:
{
  "formula": "ZnNi2",
  "functional": "PBEsol",
  "state": "relaxed",
  "crystal_system": "tetragonal",
  "spacegroup": "I4_1/amd (141)",
  "ef_mev_per_atom": -165,
  "lattice_angstrom": [[-1.762, 1.762, 10.689], [1.762, -1.762, 10.689], [1.762, 1.762, -10.689]],
  "species": ["Zn", "Zn", "Zn", "Zn", "Ni", "Ni", "Ni", "Ni", "Ni", "Ni", "Ni", "Ni"],
  "frac_coords": [[0.294, 0.544, 0.750], [0.456, 0.706, 0.750], [0.544, 0.294, 0.250], [0.706, 0.456, 0.250], [0.042, 0.792, 0.250], [0.125, 0.375, 0.750], [0.208, 0.958, 0.250], [0.375, 0.125, 0.250], [0.625, 0.875, 0.750], [0.792, 0.042, 0.750], [0.875, 0.625, 0.250], [0.958, 0.208, 0.750]]
}

---

Entry 2:
{
  "formula": "CdPb2",
  "functional": "PBEsol",
  "state": "relaxed",
  "crystal_system": "orthorhombic",
  "spacegroup": "Cmcm (63)",
  "ef_mev_per_atom": 54,
  "relative_energy_mev_per_atom": 20.0,
  "lattice_angstrom": [[4.529, 0.000, 0.000], [0.000, 14.429, 0.000], [0.000, 0.000, 4.992]],
  "species": ["Cd", "Cd", "Cd", "Cd", "Pb", "Pb", "Pb", "Pb", "Pb", "Pb", "Pb", "Pb"],
  "frac_coords": [[0.000, 0.080, 0.250], [0.000, 0.920, 0.750], [0.500, 0.420, 0.750], [0.500, 0.580, 0.250], [0.000, 0.255, 0.750], [0.000, 0.420, 0.250], [0.000, 0.580, 0.750], [0.000, 0.745, 0.250], [0.500, 0.080, 0.750], [0.500, 0.245, 0.250], [0.500, 0.755, 0.750], [0.500, 0.920, 0.250]]
}

---

Entry 3:
{
  "formula": "YMnGeP2",
  "functional": "PBEsol",
  "state": "relaxed",
  "crystal_system": "tetragonal",
  "spacegroup": "P4/mmm (123)",
  "ef_mev_per_atom": 1016,
  "lattice_angstrom": [[5.096, 0.000, 0.000], [0.000, 5.096, 0.000], [0.000, 0.000, 5.270]],
  "species": ["Y", "Mn", "Ge", "P", "P"],
  "frac_coords": [[0.000, 0.000, 0.000], [0.500, 0.500, 0.500], [0.000, 0.000, 0.500], [0.000, 0.500, 0.000], [0.500, 0.000, 0.000]]
}

---

Entry 4:
{
  "formula": "Sb2AsSI",
  "functional": "PBEsol",
  "state": "relaxed",
  "crystal_system": "tetragonal",
  "spacegroup": "P4/mmm (123)",
  "e_form_raw_ev_per_atom": 0.847,
  "lattice_angstrom": [[5.380, 0.000, 0.000], [0.000, 5.380, 0.000], [0.000, 0.000, 5.296]],
  "species": ["Sb", "Sb", "As", "S", "I"],
  "frac_coords": [[0.000, 0.500, 0.000], [0.500, 0.000, 0.000], [0.000, 0.000, 0.000], [0.500, 0.500, 0.500], [0.000, 0.000, 0.500]]
}